Here is crystalline NaLiSi4 at its relaxed geometry from Alexandria. Energies are from PBE.

CIF file:
```
data_NaLiSi4
_chemical_formula_sum 'Na4 Li4 Si16'
_space_group_name_H-M_alt 'F -4 3 m'
_space_group_IT_number 216
_space_group_name_Hall 'F -4 2 3'
_cell_length_a 7.301
_cell_length_b 7.301
_cell_length_c 7.301
_cell_angle_alpha 90.00
_cell_angle_beta 90.00
_cell_angle_gamma 90.00
loop_
_atom_site_label
_atom_site_fract_x
_atom_site_fract_y
_atom_site_fract_z
Na1 0.000 0.000 0.000
Li1 0.250 0.250 0.250
Si1 0.125 0.125 0.625
```

## Properties
- Total moment: 0.00 μB/atom
- Raw total energy: -4.007 eV per atom
- Density: 2.4 g/cm³
- Fermi-level density of states: 17.7 states/eV per cell